Crystalline TbNdSm2Er at its relaxed geometry. Source: Alexandria via LeMat-Bulk, functional PBE.

Cell lengths 8.335, 6.609, 6.200 Å; angles 90.00, 92.12, 90.00 degrees
Space group P2/c (No. 13)
Unique sites:
1 Tb 0.000 0.071 0.250 [2 per cell]
2 Nd 0.000 0.500 0.000 [2 per cell]
3 Sm 0.309 0.191 0.738 [4 per cell]
4 Er 0.500 0.339 0.250 [2 per cell]

As for the crystal system: monoclinic. As for the energy of formation: 0.28 eV per atom. The size of the total moment comes out at 0.00 μB per formula unit.